Here is an optimized crystal structure of Be2VFe from Alexandria. Energies are from PBE-GGA.

## Properties
- DFT total energy (eV per atom) = -6.30
- excess energy over the best structure of this formula in the dataset (eV/f.u.) = 0.23
- calculated formation energy (eV per atom) = -0.0417
- symmetry = No. 225

Structure (CIF):
```
data_Be2VFe
_chemical_formula_sum 'Be2 V1 Fe1'
_symmetry_space_group_name_H-M 'P 1'
_symmetry_Int_Tables_number 1
_cell_length_a 3.805
_cell_length_b 3.805
_cell_length_c 3.805
_cell_angle_alpha 60.00
_cell_angle_beta 60.00
_cell_angle_gamma 60.00
loop_
_symmetry_equiv_pos_as_xyz
'x,y,z'
loop_
_atom_site_label
_atom_site_type_symbol
_atom_site_fract_x
_atom_site_fract_y
_atom_site_fract_z
Be1 Be 0.250 0.250 0.250
Be2 Be 0.750 0.750 0.750
V1 V 0.000 0.000 0.000
Fe1 Fe 0.500 0.500 0.500
```